No. 1
Computed, not measured: an optimized crystal structure of ZrPBr2 at the GGA-PBE level of DFT.

Calculated values
Crystal system = trigonal
Raw formation energy = -0.81 eV/f.u.
Volume = 27.6 Å³ per atom
Offset from the most stable computed form = 60.4 kJ per mole of atoms
M_tot = 0.21 μB/atom

Structure (CIF):
```
data_ZrPBr2
_chemical_formula_sum 'Zr3 P3 Br6'
_symmetry_space_group_name_H-M 'P 1'
_symmetry_Int_Tables_number 1
_cell_length_a 3.350
_cell_length_b 3.350
_cell_length_c 34.135
_cell_angle_alpha 90.00
_cell_angle_beta 90.00
_cell_angle_gamma 120.00
loop_
_symmetry_equiv_pos_as_xyz
'x,y,z'
loop_
_atom_site_label
_atom_site_type_symbol
_atom_site_fract_x
_atom_site_fract_y
_atom_site_fract_z
_atom_site_occupancy
Zr1 Zr 0.000 0.000 0.000 1
Zr2 Zr 0.333 0.667 0.667 1
Zr3 Zr 0.667 0.333 0.333 1
P1 P 0.000 0.000 0.500 1
P2 P 0.333 0.667 0.167 1
P3 P 0.667 0.333 0.833 1
Br1 Br 0.000 0.000 0.391 1
Br2 Br 0.000 0.000 0.609 1
Br3 Br 0.333 0.667 0.057 1
Br4 Br 0.333 0.667 0.276 1
Br5 Br 0.667 0.333 0.724 1
Br6 Br 0.667 0.333 0.943 1
```


No. 2
Computed, not measured: an optimized crystal structure of ZrPBr2 at the GGA-PBE level of DFT.

Calculated values
Crystal system = monoclinic
Raw formation energy = -2.96 eV/f.u.
Volume = 27.8 Å³ per atom
Offset from the most stable computed form = 8.6 kJ per mole of atoms
M_tot = 0.00 μB/atom

Structure (CIF):
```
data_ZrPBr2
_chemical_formula_sum 'Zr2 P2 Br4'
_symmetry_space_group_name_H-M 'P 1'
_symmetry_Int_Tables_number 1
_cell_length_a 16.106
_cell_length_b 3.562
_cell_length_c 3.901
_cell_angle_alpha 90.00
_cell_angle_beta 95.73
_cell_angle_gamma 90.00
loop_
_symmetry_equiv_pos_as_xyz
'x,y,z'
loop_
_atom_site_label
_atom_site_type_symbol
_atom_site_fract_x
_atom_site_fract_y
_atom_site_fract_z
_atom_site_occupancy
Zr1 Zr 0.000 0.000 0.000 1
Zr2 Zr 0.500 0.500 0.000 1
P1 P 0.000 0.500 0.500 1
P2 P 0.500 0.000 0.500 1
Br1 Br 0.143 0.500 0.189 1
Br2 Br 0.357 0.000 0.811 1
Br3 Br 0.643 0.000 0.189 1
Br4 Br 0.857 0.500 0.811 1
```


No. 3
Computed, not measured: an optimized crystal structure of ZrP2Br8 at the GGA-PBE level of DFT.

Calculated values
Crystal system = monoclinic
Raw formation energy = -6.35 eV/f.u.
Volume = 38.3 Å³ per atom
M_tot = 0.00 μB/atom

Structure (CIF):
```
data_ZrP2Br8
_chemical_formula_sum 'Zr1 P2 Br8'
_symmetry_space_group_name_H-M 'P 1'
_symmetry_Int_Tables_number 1
_cell_length_a 8.098
_cell_length_b 8.098
_cell_length_c 8.718
_cell_angle_alpha 120.73
_cell_angle_beta 120.73
_cell_angle_gamma 77.71
loop_
_symmetry_equiv_pos_as_xyz
'x,y,z'
loop_
_atom_site_label
_atom_site_type_symbol
_atom_site_fract_x
_atom_site_fract_y
_atom_site_fract_z
_atom_site_occupancy
Zr1 Zr 0.000 0.000 0.000 1
P1 P 0.095 0.095 0.493 1
P2 P 0.905 0.905 0.507 1
Br1 Br 0.175 0.795 0.206 1
Br2 Br 0.205 0.825 0.794 1
Br3 Br 0.269 0.269 0.281 1
Br4 Br 0.280 0.280 0.829 1
Br5 Br 0.720 0.720 0.171 1
Br6 Br 0.731 0.731 0.719 1
Br7 Br 0.795 0.175 0.206 1
Br8 Br 0.825 0.205 0.794 1
```


No. 4
Computed, not measured: an optimized crystal structure of ZrPBr2 at the GGA-PBE level of DFT.

Calculated values
Crystal system = cubic
Raw formation energy = 0.14 eV/f.u.
Volume = 20.1 Å³ per atom
Offset from the most stable computed form = 83.4 kJ per mole of atoms
M_tot = 0.00 μB/atom

Structure (CIF):
```
data_ZrPBr2
_chemical_formula_sum 'Zr4 P4 Br8'
_symmetry_space_group_name_H-M 'P 1'
_symmetry_Int_Tables_number 1
_cell_length_a 6.855
_cell_length_b 6.855
_cell_length_c 6.855
_cell_angle_alpha 90.00
_cell_angle_beta 90.00
_cell_angle_gamma 90.00
loop_
_symmetry_equiv_pos_as_xyz
'x,y,z'
loop_
_atom_site_label
_atom_site_type_symbol
_atom_site_fract_x
_atom_site_fract_y
_atom_site_fract_z
_atom_site_occupancy
Zr1 Zr 0.000 0.000 0.000 1
Zr2 Zr 0.000 0.500 0.500 1
Zr3 Zr 0.500 0.000 0.500 1
Zr4 Zr 0.500 0.500 0.000 1
P1 P 0.000 0.000 0.500 1
P2 P 0.000 0.500 0.000 1
P3 P 0.500 0.000 0.000 1
P4 P 0.500 0.500 0.500 1
Br1 Br 0.250 0.250 0.250 1
Br2 Br 0.250 0.250 0.750 1
Br3 Br 0.250 0.750 0.250 1
Br4 Br 0.250 0.750 0.750 1
Br5 Br 0.750 0.250 0.250 1
Br6 Br 0.750 0.250 0.750 1
Br7 Br 0.750 0.750 0.250 1
Br8 Br 0.750 0.750 0.750 1
```


No. 5
Computed, not measured: an optimized crystal structure of PaBr4 at the GGA-PBE level of DFT.

Calculated values
Crystal system = monoclinic
Raw formation energy = -7.13 eV/f.u.
Volume = 44.3 Å³ per atom
M_tot = 0.20 μB/atom

Structure (CIF):
```
data_PaBr4
_chemical_formula_sum 'Pa2 Br8'
_symmetry_space_group_name_H-M 'P 1'
_symmetry_Int_Tables_number 1
_cell_length_a 9.437
_cell_length_b 9.437
_cell_length_c 7.172
_cell_angle_alpha 102.42
_cell_angle_beta 102.42
_cell_angle_gamma 127.47
loop_
_symmetry_equiv_pos_as_xyz
'x,y,z'
loop_
_atom_site_label
_atom_site_type_symbol
_atom_site_fract_x
_atom_site_fract_y
_atom_site_fract_z
_atom_site_occupancy
Pa1 Pa 0.071 0.929 0.750 1
Pa2 Pa 0.929 0.071 0.250 1
Br1 Br 0.062 0.414 0.245 1
Br2 Br 0.160 0.272 0.705 1
Br3 Br 0.272 0.160 0.205 1
Br4 Br 0.414 0.062 0.745 1
Br5 Br 0.586 0.938 0.255 1
Br6 Br 0.728 0.840 0.795 1
Br7 Br 0.840 0.728 0.295 1
Br8 Br 0.938 0.586 0.755 1
```


No. 6
Computed, not measured: an optimized crystal structure of PaBr4 at the GGA-PBE level of DFT.

Calculated values
Crystal system = cubic
Raw formation energy = -4.76 eV/f.u.
Volume = 35.9 Å³ per atom
M_tot = 0.18 μB/atom

Structure (CIF):
```
data_PaBr4
_chemical_formula_sum 'Pa1 Br4'
_symmetry_space_group_name_H-M 'P 1'
_symmetry_Int_Tables_number 1
_cell_length_a 5.642
_cell_length_b 5.642
_cell_length_c 5.642
_cell_angle_alpha 90.00
_cell_angle_beta 90.00
_cell_angle_gamma 90.00
loop_
_symmetry_equiv_pos_as_xyz
'x,y,z'
loop_
_atom_site_label
_atom_site_type_symbol
_atom_site_fract_x
_atom_site_fract_y
_atom_site_fract_z
_atom_site_occupancy
Pa1 Pa 0.000 0.000 0.000 1
Br1 Br 0.000 0.000 0.500 1
Br2 Br 0.000 0.500 0.000 1
Br3 Br 0.500 0.000 0.000 1
Br4 Br 0.500 0.500 0.500 1
```